Entry 1:
Computed, not measured: FePt2Cl after structural relaxation at the PBEsol level of DFT.

Cell: 2.8009 2.8009 7.6269 Å, 90.00 90.00 90.00°
Space group P4/mmm (No. 123)
One atom of each set of equivalent atoms:
Fe  0.0000  0.0000  0.0000 [1 per cell]
Pt  0.5000  0.5000  0.2225 [2 per cell]
Cl  0.0000  0.0000  0.5000 [1 per cell]

Properties
**Offset from the most stable computed form**: 0.15 kcal/mol of atoms
**Formation energy without anion corrections**: 0.20 eV per atom
**Volume**: 14.96 Å³ per atom
**Fermi-level density of states**: 3.3 states/eV/f.u.

---

Entry 2:
Computed, not measured: YNi2W after structural relaxation at the PBEsol level of DFT.

Cell: 3.1012 4.1317 4.9556 Å, 90.00 101.90 90.00°
Space group Pm (No. 6)
One atom of each set of equivalent atoms:
Y  0.0000  0.0000  0.0000 [1 per cell]
Ni  0.5702  0.5000  0.1648 [1 per cell]
Ni  0.6189  0.0000  0.4771 [1 per cell]
W  0.2617  0.5000  0.5777 [1 per cell]

Properties
**Energy relative to the elements**: 0.07 eV/atom
**Volume**: 15.53 Å³ per atom
**Fermi-level density of states**: 3.9 states/eV/f.u.

---

Entry 3:
Computed, not measured: TaFeRe2 after structural relaxation at the PBEsol level of DFT.

Cell: 2.7259 2.7259 7.6773 Å, 90.00 90.00 90.00°
Space group P4mm (No. 99)
One atom of each set of equivalent atoms:
Ta  0.0000  0.0000  0.0000 [1 per cell]
Fe  0.5000  0.5000  0.2493 [1 per cell]
Re  0.0000  0.0000  0.4573 [1 per cell]
Re  0.5000  0.5000  0.7143 [1 per cell]

Properties
**Energy relative to the elements**: 0.06 eV/atom
**Volume**: 14.26 Å³ per atom
**Fermi-level density of states**: 4.8 states/eV/f.u.

---

Entry 4:
Computed, not measured: CdMoRh after structural relaxation at the PBEsol level of DFT.

Cell: 6.0752 6.0752 6.0752 Å, 90.00 90.00 90.00°
Space group F-43m (No. 216)
One atom of each set of equivalent atoms:
Cd  0.0000  0.0000  0.0000 [4 per cell]
Mo  0.2500  0.2500  0.7500 [4 per cell]
Rh  0.0000  0.0000  0.5000 [4 per cell]

Properties
**Offset from the most stable computed form**: 17.88 kcal/mol of atoms
**Energy relative to the elements**: 0.86 eV/atom
**Volume**: 18.68 Å³ per atom
**Fermi-level density of states**: 4.3 states/eV/f.u.

---

Entry 5:
Computed, not measured: ReHg3Ir after structural relaxation at the PBEsol level of DFT.

Cell: 5.1109 5.1109 5.1109 Å, 90.00 90.00 90.00°
Space group Pm-3m (No. 221)
One atom of each set of equivalent atoms:
Re  0.0000  0.0000  0.0000 [1 per cell]
Hg  0.0000  0.5000  0.5000 [3 per cell]
Ir  0.5000  0.5000  0.5000 [1 per cell]

Properties
**Energy relative to the elements**: 1.74 eV/atom
**Volume**: 26.70 Å³ per atom
**Fermi-level density of states**: 3.5 states/eV/f.u.

---

Entry 6:
Computed, not measured: TeRhSe2 after structural relaxation at the PBEsol level of DFT.

Cell: 2.9832 2.9832 9.2273 Å, 90.00 90.00 90.00°
Space group P4mm (No. 99)
One atom of each set of equivalent atoms:
Te  0.0000  0.0000  0.0000 [1 per cell]
Rh  0.5000  0.5000  0.2198 [1 per cell]
Se  0.0000  0.0000  0.3764 [1 per cell]
Se  0.5000  0.5000  0.6804 [1 per cell]

Properties
**Formation energy without anion corrections**: 0.09 eV per atom
**Volume**: 20.53 Å³ per atom
**Fermi-level density of states**: 2.6 states/eV/f.u.

---

Entry 7:
Computed, not measured: Li3CoRu after structural relaxation at the PBEsol level of DFT.

Cell: 4.1224 4.1224 4.1224 Å, 90.00 90.00 90.00°
Space group Pm-3m (No. 221)
One atom of each set of equivalent atoms:
Li  0.0000  0.0000  0.5000 [3 per cell]
Co  0.0000  0.0000  0.0000 [1 per cell]
Ru  0.5000  0.5000  0.5000 [1 per cell]

Properties
**Energy relative to the elements**: 1.25 eV/atom
**Volume**: 14.01 Å³ per atom
**Fermi-level density of states**: 3.9 states/eV/f.u.

---

Entry 8:
Computed, not measured: Ag3BRh after structural relaxation at the PBEsol level of DFT.

Cell: 4.2088 4.2088 4.2088 Å, 90.00 90.00 90.00°
Space group Pm-3m (No. 221)
One atom of each set of equivalent atoms:
Ag  0.0000  0.0000  0.5000 [3 per cell]
B  0.0000  0.0000  0.0000 [1 per cell]
Rh  0.5000  0.5000  0.5000 [1 per cell]

Properties
**Energy relative to the elements**: 0.68 eV/atom
**Volume**: 14.91 Å³ per atom
**Fermi-level density of states**: 5.3 states/eV/f.u.

---

Entry 9:
Computed, not measured: BiIrF3 after structural relaxation at the PBEsol level of DFT.

Cell: 4.5502 4.5502 4.5502 Å, 90.00 90.00 90.00°
Space group Pm-3m (No. 221)
One atom of each set of equivalent atoms:
Bi  0.0000  0.0000  0.0000 [1 per cell]
Ir  0.5000  0.5000  0.5000 [1 per cell]
F  0.0000  0.0000  0.5000 [3 per cell]

Properties
**Formation energy without anion corrections**: -0.37 eV per atom
**Volume**: 18.84 Å³ per atom
**Fermi-level density of states**: 6.9 states/eV/f.u.

---

Entry 10:
Computed, not measured: CuPbSe2 after structural relaxation at the PBEsol level of DFT.

Cell: 3.9116 3.9116 19.1906 Å, 90.00 90.00 120.00°
Space group R-3m (No. 166, hexagonal axes)
One atom of each set of equivalent atoms:
Cu  0.0000  0.0000  0.0000 [3 per cell]
Pb  0.0000  0.0000  0.5000 [3 per cell]
Se  0.0000  0.0000  0.2669 [6 per cell]

Properties
**Formation energy without anion corrections**: -0.23 eV per atom
**Volume**: 21.19 Å³ per atom
**Fermi-level density of states**: 2.6 states/eV/f.u.

---

Entry 11:
Computed, not measured: FeIr2Se after structural relaxation at the PBEsol level of DFT.

Cell: 8.6580 2.8156 4.6962 Å, 90.00 99.62 90.00°
Space group C2/m (No. 12)
One atom of each set of equivalent atoms:
Fe  0.0000  0.0000  0.0000 [2 per cell]
Ir  0.2434  0.5000  0.2387 [4 per cell]
Se  0.0000  0.5000  0.5000 [2 per cell]

Properties
**Formation energy without anion corrections**: 0.27 eV per atom
**Volume**: 14.11 Å³ per atom
**Fermi-level density of states**: 3.7 states/eV/f.u.

---

Entry 12:
Computed, not measured: CsMgO2F after structural relaxation at the PBEsol level of DFT.

Cell: 4.3838 4.3838 5.1211 Å, 90.00 90.00 90.00°
Space group P4/mmm (No. 123)
One atom of each set of equivalent atoms:
Cs  0.0000  0.0000  0.0000 [1 per cell]
Mg  0.5000  0.5000  0.5000 [1 per cell]
O  0.0000  0.5000  0.0000 [2 per cell]
F  0.0000  0.0000  0.5000 [1 per cell]

Properties
**Formation energy without anion corrections**: -0.27 eV per atom
**Volume**: 19.68 Å³ per atom
**Fermi-level density of states**: 0.5 states/eV/f.u.